Here is a geometry-optimized Cu2Pt structure from Alexandria. Energies are from PBE.

Cell and atoms, written as POSCAR:
```
Cu2Pt
1.0
5.8052 0.0000 0.0000
0.0000 5.8052 0.0000
0.0000 0.0000 5.8052
Cu Pt
8 4
direct
0.2500 0.2500 0.2500 Cu
0.2500 0.2500 0.7500 Cu
0.2500 0.7500 0.2500 Cu
0.2500 0.7500 0.7500 Cu
0.7500 0.2500 0.2500 Cu
0.7500 0.2500 0.7500 Cu
0.7500 0.7500 0.2500 Cu
0.7500 0.7500 0.7500 Cu
0.0000 0.0000 0.0000 Pt
0.0000 0.5000 0.5000 Pt
0.5000 0.0000 0.5000 Pt
0.5000 0.5000 0.0000 Pt
```

Output
Volume   196 Å³ per cell
Formation energy   260 meV/atom
Calculated total energy   -4.485 eV/atom
Energy relative to the lowest polymorph listed for this composition   405 meV/atom